Density functional theory data (PBE) for a relaxed CeY3Th4As8 crystal.

Calculated values
- D(E_F): 11.6 states/eV/cell
- VASP energy: -7.228 eV/atom
- Energy relative to the elements: -1.466 eV per atom

Geometry as POSCAR:
```
CeY3Th4As8
1.0
4.211 2.431 6.837
-4.211 2.431 6.837
0.000 -4.863 6.837
Ce Y Th As
1 3 4 8
Cartesian
0.000 0.000 0.000
-2.106 -1.216 6.837
-2.106 1.216 13.675
0.000 2.431 6.837
-4.211 0.000 10.256
-2.106 1.216 3.419
2.106 1.216 3.419
0.000 0.000 10.256
0.000 -2.418 8.507
-2.094 1.209 8.507
0.000 0.000 5.172
-2.094 -1.209 12.006
2.094 1.209 8.507
0.000 0.000 15.340
2.094 -1.209 12.006
0.000 2.418 12.006
```